Entry 1:
# CaYBr

An optimized crystal structure of CaYBr (PBEsol, Alexandria).

POSCAR file:
```
CaYBr
1.0
4.968 0.000 0.000
2.484 4.303 0.000
2.484 1.434 4.056
Y Ca Br
1 1 1
Direct
0.500 0.500 0.500 Y
0.000 0.000 0.000 Ca
0.250 0.250 0.250 Br
```

Calculated values
Calculated total energy = -3.85 eV per atom
D(E_F) = 0.85 states/eV/atom
Space group = F-43m (216)
Raw formation energy = -0.7 eV per formula unit



Entry 2:
# CaZnBr

An optimized crystal structure of CaZnBr (PBEsol, Alexandria).

POSCAR file:
```
CaZnBr
1.0
-4.340 0.409 -2.277
-0.934 -2.685 -4.014
-3.245 -3.691 0.210
Br Zn Ca
1 1 1
Direct
0.250 0.250 0.250 Br
0.500 0.500 0.500 Zn
0.000 0.000 0.000 Ca
```

Calculated values
Calculated total energy = -2.31 eV per atom
D(E_F) = 0.54 states/eV/atom
Space group = F-43m (216)
Raw formation energy = -1.3 eV per formula unit



- What is the raw formation energy in the first record?
  -0.7 eV per formula unit



Repeat the first record exactly.
# CaYBr

An optimized crystal structure of CaYBr (PBEsol, Alexandria).

POSCAR file:
```
CaYBr
1.0
4.968 0.000 0.000
2.484 4.303 0.000
2.484 1.434 4.056
Y Ca Br
1 1 1
Direct
0.500 0.500 0.500 Y
0.000 0.000 0.000 Ca
0.250 0.250 0.250 Br
```

Calculated values
Calculated total energy = -3.85 eV per atom
D(E_F) = 0.85 states/eV/atom
Space group = F-43m (216)
Raw formation energy = -0.7 eV per formula unit